(1)
An optimized crystal structure of TlZnFeMo. Source: OQMD via LeMat-Bulk, functional PBE.

Lattice parameters (Å, degrees): 4.4823 4.4823 4.4823 60.00 60.00 60.00
With the nearest neighbours (Å) after each atom.
Atoms (fractional coordinates):
Tl  0.0000  0.0000  0.0000  4 Zn 2.74, 4 Fe 2.74
Zn  0.7500  0.7500  0.7500  4 Tl 2.74, 4 Mo 2.74
Fe  0.2500  0.2500  0.2500  4 Tl 2.74, 4 Mo 2.74
Mo  0.5000  0.5000  0.5000  4 Zn 2.74, 4 Fe 2.74

Properties
Magnetization, μB/cell: 0.9
Final energy, Ry per atom: -0.374
Energy above the most stable polymorph in this dataset, eV/f.u.: 0.000

=====

(2)
An optimized crystal structure of RbSmHgO3. Source: OQMD via LeMat-Bulk, functional PBE.

Lattice parameters (Å, degrees): 7.3083 7.3083 9.1620 90.00 90.00 150.92
With the nearest neighbours (Å) after each atom.
Atoms (fractional coordinates):
Rb  0.1815  0.8185  0.7500  4 O 2.74-2.84
Rb  0.8185  0.1815  0.2500  4 O 2.74-2.84
Sm  0.5000  0.5000  0.0000  6 O 2.33-2.40
Sm  0.5000  0.5000  0.5000  6 O 2.33-2.40
Hg  0.1070  0.8930  0.2500  2 O 2.05
Hg  0.8930  0.1070  0.7500  2 O 2.05
O  0.1079  0.8921  0.0266  1 Hg 2.05
O  0.1079  0.8921  0.4734  1 Hg 2.05
O  0.4714  0.5286  0.2500  2 Sm 2.33
O  0.5286  0.4714  0.7500  2 Sm 2.33
O  0.8921  0.1079  0.5266  1 Hg 2.05
O  0.8921  0.1079  0.9734  1 Hg 2.05

Properties
Magnetization, μB/cell: 0.0
Final energy, Ry per atom: -0.389

=====

(3)
An optimized crystal structure of TmZrAsO. Source: OQMD via LeMat-Bulk, functional PBE.

Lattice parameters (Å, degrees): 4.0329 4.0329 8.5444 90.00 90.00 90.00
With the nearest neighbours (Å) after each atom.
Atoms (fractional coordinates):
Tm  0.2500  0.7500  0.0000  4 As 2.82, 4 Tm 2.85
Tm  0.7500  0.2500  0.0000  4 As 2.82, 4 Tm 2.85
Zr  0.2500  0.2500  0.3766  4 O 2.28
Zr  0.7500  0.7500  0.6234  4 O 2.28
As  0.2500  0.2500  0.7687  4 Tm 2.82, 4 O 3.06, 4 Zr 3.11
As  0.7500  0.7500  0.2313  4 Tm 2.82, 4 O 3.06, 4 Zr 3.11
O  0.2500  0.7500  0.5000  4 Zr 2.28
O  0.7500  0.2500  0.5000  4 Zr 2.28

Properties
Magnetization, μB/cell: 0.2
Final energy, Ry per atom: -0.523
Energy above the most stable polymorph in this dataset, eV/f.u.: 1.944

=====

(4)
An optimized crystal structure of NbAlFeW. Source: OQMD via LeMat-Bulk, functional PBE.

Lattice parameters (Å, degrees): 4.3980 4.3980 4.3980 60.00 60.00 60.00
With the nearest neighbours (Å) after each atom.
Atoms (fractional coordinates):
Nb  0.0000  0.0000  0.0000  4 Fe 2.69, 4 W 2.69
Al  0.5000  0.5000  0.5000  4 Fe 2.69, 4 W 2.69
Fe  0.7500  0.7500  0.7500  4 Al 2.69, 4 Nb 2.69
W  0.2500  0.2500  0.2500  4 Nb 2.69, 4 Al 2.69

Properties
Magnetization, μB/cell: 1.9
Final energy, Ry per atom: -0.640
Energy above the most stable polymorph in this dataset, eV/f.u.: 0.000

=====

(5)
An optimized crystal structure of Rb2PrTmS4. Source: OQMD via LeMat-Bulk, functional PBE.

Lattice parameters (Å, degrees): 4.1293 4.1293 15.3918 90.00 90.00 120.00
With the nearest neighbours (Å) after each atom.
Atoms (fractional coordinates):
Rb  0.3333  0.6667  0.2446  6 S 3.34-3.35
Rb  0.6667  0.3333  0.7554  6 S 3.34-3.35
Pr  0.0000  0.0000  0.5000  6 S 2.86
Tm  0.0000  0.0000  0.0000  6 S 2.77
S  0.3333  0.6667  0.6032  3 Pr 2.86
S  0.3333  0.6667  0.9082  3 Tm 2.77
S  0.6667  0.3333  0.0918  3 Tm 2.77
S  0.6667  0.3333  0.3968  3 Pr 2.86

Properties
Magnetization, μB/cell: 0.0
Final energy, Ry per atom: -0.388

=====

(6)
An optimized crystal structure of MgCoNiSe3. Source: OQMD via LeMat-Bulk, functional PBE.

Lattice parameters (Å, degrees): 6.3123 6.3123 9.4788 90.00 90.00 147.47
With the nearest neighbours (Å) after each atom.
Atoms (fractional coordinates):
Mg  0.2329  0.7671  0.7500  2 Ni 2.81, 8 Se 2.92-3.11
Mg  0.7671  0.2329  0.2500  2 Ni 2.81, 8 Se 2.92-3.11
Co  0.0000  0.0000  0.0000  6 Se 2.43-2.54
Co  0.0000  0.0000  0.5000  6 Se 2.43-2.54
Ni  0.4468  0.5532  0.2500  4 Se 2.30-2.36
Ni  0.5532  0.4468  0.7500  4 Se 2.30-2.36
Se  0.0756  0.9244  0.2500  2 Ni 2.36, 2 Co 2.54
Se  0.3641  0.6359  0.0315  1 Ni 2.30, 2 Co 2.43
Se  0.3641  0.6359  0.4685  1 Ni 2.30, 2 Co 2.43
Se  0.6359  0.3641  0.5315  1 Ni 2.30, 2 Co 2.43
Se  0.6359  0.3641  0.9685  1 Ni 2.30, 2 Co 2.43
Se  0.9244  0.0756  0.7500  2 Ni 2.36, 2 Co 2.54

Properties
Magnetization, μB/cell: 0.0
Final energy, Ry per atom: -0.329
Energy above the most stable polymorph in this dataset, eV/f.u.: 0.000

=====

(7)
An optimized crystal structure of AcTaTc. Source: OQMD via LeMat-Bulk, functional PBE.

Lattice parameters (Å, degrees): 4.7113 4.7113 4.7113 60.00 60.00 60.00
With the nearest neighbours (Å) after each atom.
Atoms (fractional coordinates):
Ac  0.0000  0.0000  0.0000  4 Ta 2.89
Ta  0.7500  0.7500  0.7500  4 Ac 2.89, 4 Tc 2.89
Tc  0.5000  0.5000  0.5000  4 Ta 2.89

Properties
Magnetization, μB/cell: 0.0
Final energy, Ry per atom: -0.578
ΔH_f (0 K), eV/atom: 0.91
Energy above the most stable polymorph in this dataset, eV/f.u.: 0.000

=====

(8)
An optimized crystal structure of Al2ZnGa2. Source: OQMD via LeMat-Bulk, functional PBE.

Lattice parameters (Å, degrees): 6.3129 6.3129 6.3129 142.13 142.13 54.64
With the nearest neighbours (Å) after each atom.
Atoms (fractional coordinates):
Al  0.2500  0.7500  0.5000  4 Ga 2.60, 4 Al 2.90
Al  0.7500  0.2500  0.5000  4 Ga 2.60, 4 Al 2.90
Zn  0.0000  0.0000  0.0000  8 Ga 3.13, 8 Al 3.47
Ga  0.3933  0.3933  0.0000  1 Ga 2.39, 4 Al 2.60
Ga  0.6067  0.6067  0.0000  1 Ga 2.39, 4 Al 2.60

Properties
Final energy, Ry per atom: -0.207
Energy above the most stable polymorph in this dataset, eV/f.u.: 0.000

=====

(9)
An optimized crystal structure of DyEr2Tm2Lu2Ni2Se2. Source: OQMD via LeMat-Bulk, functional PBE.

Lattice parameters (Å, degrees): 8.9305 8.9305 8.9305 155.67 67.69 117.93
With the nearest neighbours (Å) after each atom.
Atoms (fractional coordinates):
Dy  0.0000  0.0000  0.0000  3 Se 3.05-3.14
Er  0.0986  0.7399  0.3587  2 Ni 2.81, 2 Se 2.97
Er  0.3812  0.7399  0.6413  2 Ni 2.81, 2 Se 2.97
Tm  0.4588  0.5859  0.8730  2 Ni 2.76, 3 Se 2.94-3.02
Tm  0.7129  0.5859  0.1270  2 Ni 2.76, 3 Se 2.94-3.02
Lu  0.0629  0.3798  0.6831  2 Ni 2.71, 1 Se 3.01
Lu  0.6967  0.3798  0.3169  2 Ni 2.71, 1 Se 3.01
Ni  0.3104  0.0732  0.2373  2 Lu 2.71, 2 Tm 2.76, 2 Er 2.81
Ni  0.8359  0.0732  0.7627  2 Lu 2.71, 2 Tm 2.76, 2 Er 2.81
Se  0.3415  0.3415  0.0000  2 Tm 2.94, 4 Er 2.97, 1 Dy 3.14
Se  0.7398  0.2398  0.5000  2 Lu 3.01, 4 Tm 3.02, 2 Dy 3.05

Properties
Magnetization, μB/cell: 0.0
Final energy, Ry per atom: -0.394

=====

(10)
An optimized crystal structure of PrDyGe4Os2. Source: OQMD via LeMat-Bulk, functional PBE.

Lattice parameters (Å, degrees): 4.4958 4.4448 8.3754 90.00 104.30 90.00
With the nearest neighbours (Å) after each atom.
Atoms (fractional coordinates):
Pr  0.0000  0.0000  0.0000  9 Ge 3.03-3.34, 3 Os 3.27-3.39
Dy  0.2316  0.5000  0.4164  6 Ge 2.99-3.26, 3 Os 3.19-3.28
Ge  0.2841  0.0000  0.7069  4 Os 2.40-2.51
Ge  0.5666  0.5000  0.1166  1 Os 2.44, 2 Ge 2.64
Ge  0.6541  0.0000  0.2933  1 Os 2.40, 2 Ge 2.64
Ge  0.9262  0.5000  0.6953  4 Os 2.41-2.51
Os  0.4950  0.5000  0.8186  5 Ge 2.41-2.51
Os  0.7146  0.0000  0.5859  5 Ge 2.40-2.51

Properties
Magnetization, μB/cell: 0.0
Final energy, Ry per atom: -0.498

=====

(11)
An optimized crystal structure of TbTlGaTe3. Source: OQMD via LeMat-Bulk, functional PBE.

Lattice parameters (Å, degrees): 7.7747 7.7747 11.5917 90.00 90.00 144.43
With the nearest neighbours (Å) after each atom.
Atoms (fractional coordinates):
Tb  0.0000  0.0000  0.0000  6 Te 3.12-3.17
Tb  0.0000  0.0000  0.5000  6 Te 3.12-3.17
Tl  0.2444  0.7556  0.7500  6 Te 3.55-3.63
Tl  0.7556  0.2444  0.2500  6 Te 3.55-3.63
Ga  0.4797  0.5203  0.2500  4 Te 2.76-2.78
Ga  0.5203  0.4797  0.7500  4 Te 2.76-2.78
Te  0.0773  0.9227  0.2500  2 Ga 2.78
Te  0.3668  0.6332  0.0606  1 Ga 2.76
Te  0.3668  0.6332  0.4394  1 Ga 2.76
Te  0.6332  0.3668  0.5606  1 Ga 2.76
Te  0.6332  0.3668  0.9394  1 Ga 2.76
Te  0.9227  0.0773  0.7500  2 Ga 2.78

Properties
Magnetization, μB/cell: 0.0
Final energy, Ry per atom: -0.290

=====

(12)
An optimized crystal structure of Cu4Ag. Source: OQMD via LeMat-Bulk, functional PBE.

Lattice parameters (Å, degrees): 10.8329 10.8329 4.5359 95.43 95.43 14.23
With the nearest neighbours (Å) after each atom.
Atoms (fractional coordinates):
Cu  0.0577  0.0577  0.3450  5 Cu 2.57-2.68, 6 Ag 2.62-2.77
Cu  0.1565  0.1565  0.0539  10 Cu 2.52-2.68, 2 Ag 2.72
Cu  0.2493  0.2493  0.7482  12 Cu 2.52-2.68
Cu  0.3453  0.3453  0.4555  11 Cu 2.54-2.68, 1 Ag 2.68
Cu  0.6547  0.6547  0.5445  11 Cu 2.54-2.68, 1 Ag 2.68
Cu  0.7507  0.7507  0.2518  12 Cu 2.52-2.68
Cu  0.8435  0.8435  0.9461  10 Cu 2.52-2.68, 2 Ag 2.72
Cu  0.9423  0.9423  0.6550  5 Cu 2.57-2.68, 6 Ag 2.62-2.77
Ag  0.4480  0.4480  0.1620  9 Cu 2.62-2.77, 3 Ag 2.68-2.79
Ag  0.5520  0.5520  0.8380  9 Cu 2.62-2.77, 3 Ag 2.68-2.79

Properties
Final energy, Ry per atom: -0.255
ΔH_f (0 K), eV/atom: 0.07
Energy above the most stable polymorph in this dataset, eV/f.u.: 0.136